1.
Compound: KTlF4
Source: the Alexandria database
Functional: PBE
Structure: relaxed

Lattice parameters (Å, degrees): 8.7133 6.1575 8.5863 90.00 100.21 90.00
Space group P2_1/c (No. 14)
Symmetry-distinct sites (fractional):
K1 0.1404 0.2253 0.3990 x4
Tl1 0.3320 0.7353 0.1992 x4
F1 0.1336 0.5214 0.1731 x4
F2 0.1763 0.5009 0.6345 x4
F3 0.3448 0.6436 0.9488 x4
F4 0.4554 0.0656 0.7996 x4

Computed properties:
energy relative to the lowest polymorph listed for this composition	0.0112	eV per atom
formation energy (no corrections)	-50.93	kcal/mol of atoms

---

2.
Compound: K2TlF
Source: the Alexandria database
Functional: PBE
Structure: relaxed

Lattice parameters (Å, degrees): 7.8483 7.8483 9.6170 90.00 90.00 90.00
Space group I-42d (No. 122)
Symmetry-distinct sites (fractional):
K1 0.1239 0.2500 0.1250 x8
Tl1 0.0000 0.0000 0.5000 x4
F1 0.0000 0.0000 0.0000 x4

Computed properties:
energy relative to the lowest polymorph listed for this composition	0.0541	eV per atom
formation energy (no corrections)	-27.91	kcal/mol of atoms

---

3.
Compound: KTl3F4
Source: the Alexandria database
Functional: PBE
Structure: relaxed

Lattice parameters (Å, degrees): 7.9620 11.2240 3.9592 90.00 90.00 90.00
Space group Cmmm (No. 65)
Symmetry-distinct sites (fractional):
K1 0.0000 0.0000 0.0000 x2
Tl1 0.0000 0.5000 0.0000 x2
Tl2 0.2500 0.2500 0.5000 x4
F1 0.0000 0.2433 0.0000 x4
F2 0.2409 0.0000 0.5000 x4

Computed properties:
energy relative to the lowest polymorph listed for this composition	0.0000	eV per atom
formation energy (no corrections)	-45.51	kcal/mol of atoms

---

4.
Compound: KTlF3
Source: the Alexandria database
Functional: PBE
Structure: relaxed

Lattice parameters (Å, degrees): 9.5554 9.5554 9.5554 90.00 90.00 90.00
Space group Fm-3m (No. 225)
Symmetry-distinct sites (fractional):
K1 0.2500 0.2500 0.2500 x8
Tl1 0.0000 0.0000 0.0000 x4
Tl2 0.0000 0.0000 0.5000 x4
F1 0.0000 0.0000 0.2303 x24

Computed properties:
formation energy (no corrections)	-50.59	kcal/mol of atoms

---

5.
Compound: KTlF3
Source: the Alexandria database
Functional: PBE
Structure: relaxed

Lattice parameters (Å, degrees): 11.7125 6.5987 11.2057 90.00 109.79 90.00
Space group C2/c (No. 15)
Symmetry-distinct sites (fractional):
K1 0.1416 0.1870 0.1246 x8
Tl1 0.0000 0.2816 0.7500 x4
Tl2 0.2500 0.2500 0.5000 x4
F1 0.0811 0.2252 0.5466 x8
F2 0.1617 0.4240 0.3237 x8
F3 0.1955 0.0380 0.8956 x8

Computed properties:
formation energy (no corrections)	-52.25	kcal/mol of atoms

---

6.
Compound: K2TlF3
Source: the Alexandria database
Functional: PBE
Structure: relaxed

Lattice parameters (Å, degrees): 5.4421 12.5836 4.1080 90.00 90.00 90.00
Space group Cmmm (No. 65)
Symmetry-distinct sites (fractional):
K1 0.0000 0.1450 0.0000 x4
Tl1 0.0000 0.5000 0.5000 x2
F1 0.0000 0.0000 0.5000 x2
F2 0.0000 0.3490 0.0000 x4

Computed properties:
energy relative to the lowest polymorph listed for this composition	0.0462	eV per atom
formation energy (no corrections)	-54.21	kcal/mol of atoms

---

7.
Compound: KTlF4
Source: the Alexandria database
Functional: PBE
Structure: relaxed

Lattice parameters (Å, degrees): 8.2170 8.2170 10.3724 90.00 90.00 120.00
Space group P3_1 (No. 144)
Symmetry-distinct sites (fractional):
K1 0.0168 0.8355 0.0000 x3
K2 0.5027 0.3517 0.0243 x3
Tl1 0.1522 0.6632 0.3485 x3
Tl2 0.3389 0.0291 0.6799 x3
F1 0.0066 0.3961 0.2377 x3
F2 0.0539 0.8614 0.7402 x3
F3 0.0736 0.3465 0.7973 x3
F4 0.1288 0.4826 0.5312 x3
F5 0.2157 0.2014 0.5843 x3
F6 0.2211 0.6041 0.0175 x3
F7 0.4556 0.3168 0.7736 x3
F8 0.5331 0.3771 0.2802 x3

Computed properties:
energy relative to the lowest polymorph listed for this composition	0.0000	eV per atom
formation energy (no corrections)	-51.19	kcal/mol of atoms

---

8.
Compound: KTl3F4
Source: the Alexandria database
Functional: PBE
Structure: relaxed

Lattice parameters (Å, degrees): 8.5553 8.4569 5.7983 90.00 90.00 90.00
Space group Pmn2_1 (No. 31)
Symmetry-distinct sites (fractional):
K1 0.0000 0.1786 0.0000 x2
Tl1 0.0000 0.8579 0.5140 x2
Tl2 0.2314 0.6579 0.0013 x4
F1 0.0000 0.2105 0.4984 x2
F2 0.0000 0.8801 0.0903 x2
F3 0.2367 0.6725 0.4411 x4

Computed properties:
energy relative to the lowest polymorph listed for this composition	0.0104	eV per atom
formation energy (no corrections)	-45.28	kcal/mol of atoms

---

9.
Compound: KTlF2
Source: the Alexandria database
Functional: PBE
Structure: relaxed

Lattice parameters (Å, degrees): 3.9423 3.9423 23.1094 90.00 90.00 120.00
Space group R-3m (No. 166, hexagonal axes)
Symmetry-distinct sites (fractional):
K1 0.0000 0.0000 0.0000 x3
Tl1 0.0000 0.0000 0.5000 x3
F1 0.0000 0.0000 0.3964 x6

Computed properties:
energy relative to the lowest polymorph listed for this composition	0.1686	eV per atom
formation energy (no corrections)	-47.49	kcal/mol of atoms

---

10.
Compound: K3Tl2F8
Source: the Alexandria database
Functional: PBE
Structure: relaxed

Lattice parameters (Å, degrees): 6.8539 6.8539 20.4050 90.00 90.00 120.00
Space group R-3m (No. 166, hexagonal axes)
Symmetry-distinct sites (fractional):
K1 0.0000 0.0000 0.0000 x3
K2 0.0000 0.0000 0.1970 x6
Tl1 0.0000 0.0000 0.4237 x6
F1 0.0000 0.0000 0.3197 x6
F2 0.0309 0.5155 0.7692 x18

Computed properties:
formation energy (no corrections)	-50.37	kcal/mol of atoms

---

11.
Compound: K2Tl3F10
Source: the Alexandria database
Functional: PBE
Structure: relaxed

Lattice parameters (Å, degrees): 20.8466 6.4440 8.8213 90.00 110.74 90.00
Space group C2/m (No. 12)
Symmetry-distinct sites (fractional):
K1 0.1071 0.0000 0.2450 x4
K2 0.2016 0.0000 0.8664 x4
Tl1 0.0000 0.2793 0.5000 x4
Tl2 0.0875 0.5000 0.0125 x4
Tl3 0.1828 0.5000 0.5454 x4
F1 0.0000 0.2801 0.0000 x4
F2 0.0082 0.0000 0.6635 x4
F3 0.0480 0.5000 0.7493 x4
F4 0.1148 0.5000 0.2888 x4
F5 0.1174 0.2274 0.5479 x8
F6 0.1571 0.2466 0.0553 x8
F7 0.2194 0.5000 0.7999 x4
F8 0.2500 0.2500 0.5000 x4

Computed properties:
formation energy (no corrections)	-48.27	kcal/mol of atoms

---

12.
Compound: KTl5F5
Source: the Alexandria database
Functional: PBE
Structure: relaxed

Lattice parameters (Å, degrees): 12.5115 5.5508 7.8386 90.00 108.67 90.00
Space group C2/m (No. 12)
Symmetry-distinct sites (fractional):
K1 0.0000 0.0000 0.0000 x2
Tl1 0.0000 0.0000 0.5000 x2
Tl2 0.1584 0.5000 0.3348 x4
Tl3 0.1669 0.5000 0.8272 x4
F1 0.0000 0.5000 0.0000 x2
F2 0.1589 0.0000 0.3224 x4
F3 0.1652 0.0000 0.8453 x4

Computed properties:
formation energy (no corrections)	-39.25	kcal/mol of atoms

---

13.
Compound: KTl2F
Source: the Alexandria database
Functional: PBE
Structure: relaxed

Lattice parameters (Å, degrees): 5.6645 5.6645 18.3109 90.00 90.00 90.00
Space group I-42d (No. 122)
Symmetry-distinct sites (fractional):
K1 0.0000 0.0000 0.0000 x4
Tl1 0.0966 0.2500 0.6250 x8
F1 0.0000 0.0000 0.5000 x4

Computed properties:
energy relative to the lowest polymorph listed for this composition	0.0000	eV per atom
formation energy (no corrections)	-17.83	kcal/mol of atoms

---

14.
Compound: K3TlF7
Source: the Alexandria database
Functional: PBE
Structure: relaxed

Lattice parameters (Å, degrees): 9.1735 8.8669 6.7207 90.00 130.36 90.00
Space group Cm (No. 8)
Symmetry-distinct sites (fractional):
K1 0.0000 0.0000 0.0000 x2
K2 0.0052 0.2696 0.5570 x4
Tl1 0.0578 0.5000 0.1153 x2
F1 0.1173 0.2520 0.2683 x4
F2 0.1828 0.5000 0.9287 x2
F3 0.3537 0.5000 0.5016 x2
F4 0.3644 0.1804 0.8054 x4
F5 0.3775 0.0000 0.2204 x2

Computed properties:
formation energy (no corrections)	-51.11	kcal/mol of atoms

---

15.
Compound: KTl2F2
Source: the Alexandria database
Functional: PBE
Structure: relaxed

Lattice parameters (Å, degrees): 7.1253 7.1253 5.1700 90.00 90.00 90.00
Space group P4/mbm (No. 127)
Symmetry-distinct sites (fractional):
K1 0.0000 0.0000 0.0000 x2
Tl1 0.1636 0.3364 0.5000 x4
F1 0.1990 0.3010 0.0000 x4

Computed properties:
formation energy (no corrections)	-35.45	kcal/mol of atoms

---

16.
Compound: KTlF2
Source: the Alexandria database
Functional: PBE
Structure: relaxed

Lattice parameters (Å, degrees): 3.8070 3.8070 20.2593 90.00 90.00 120.00
Space group R3m (No. 160, hexagonal axes)
Symmetry-distinct sites (fractional):
K1 0.0000 0.0000 0.0000 x3
Tl1 0.0000 0.0000 0.8305 x3
F1 0.0000 0.0000 0.4103 x3
F2 0.0000 0.0000 0.5869 x3

Computed properties:
energy relative to the lowest polymorph listed for this composition	0.0236	eV per atom
formation energy (no corrections)	-50.83	kcal/mol of atoms

---

Calculated values (μB/f.u.) of total magnetization for the records, taken in order: 0.05; 0.00; 0.00; 0.00; 0.00; 0.00; 0.07; 0.00; 0.00; 0.54; 0.00; 0.00; 0.00; 1.01; 0.00; 0.00.